No. 1
Density functional theory data (PBE-GGA) for a relaxed LiBeIn2 crystal.

Unit cell a=8.795 b=8.795 c=8.795 alpha=21.42 beta=21.42 gamma=21.42
Element x y z (fractional)
Be 0.250 0.250 0.250
In 0.993 0.993 0.993
In 0.507 0.507 0.507
Li 0.750 0.750 0.750

**Formation energy from the elements**: 0.1742 eV per atom
**SG**: R-3m (166)
**Total magnetization**: 0.00 μB/f.u.
**Total energy**: -0.191 Ry/atom

No. 2
Density functional theory data (PBE-GGA) for a relaxed Pr8Nd3Mg2 crystal.

Unit cell a=8.782 b=8.921 c=9.910 alpha=59.66 beta=42.57 gamma=74.51
Element x y z (fractional)
Pr 0.396 0.291 0.120
Pr 0.604 0.709 0.880
Pr 0.914 0.345 0.975
Pr 0.086 0.655 0.025
Pr 0.813 0.178 0.472
Pr 0.320 0.148 0.591
Pr 0.680 0.852 0.409
Pr 0.187 0.822 0.528
Nd 0.000 0.500 0.500
Nd 0.242 0.997 0.070
Nd 0.758 0.003 0.930
Mg 0.540 0.563 0.303
Mg 0.460 0.437 0.697

**Formation energy from the elements**: 0.0107 eV per atom
**SG**: P-1 (2)
**Total magnetization**: 0.00 μB/f.u.
**Total energy**: -0.314 Ry/atom

No. 3
Density functional theory data (PBE-GGA) for a relaxed TlSiAu2 crystal.

Unit cell a=3.484 b=4.894 c=4.767 alpha=90.00 beta=90.00 gamma=90.00
Element x y z (fractional)
Au 0.000 0.000 0.000
Au 0.500 0.500 0.000
Si 0.500 0.000 0.500
Tl 0.000 0.500 0.500

**Uncorrected formation energy**: 0.36 eV/atom
**SG**: Pmmm (47)
**Total magnetization**: 0.00 μB/f.u.
**Total energy**: -0.237 Ry/atom
**Polymorph energy (0 for the lowest one)**: 389.9 meV per atom

No. 4
Density functional theory data (PBE-GGA) for a relaxed Tb2NdTm8 crystal.

Unit cell a=5.398 b=8.279 c=9.010 alpha=115.20 beta=107.43 gamma=90.00
Element x y z (fractional)
Tb 0.799 0.342 0.598
Tb 0.201 0.658 0.402
Nd 0.500 0.000 0.000
Tm 0.383 0.556 0.766
Tm 0.666 0.893 0.333
Tm 0.840 0.802 0.681
Tm 0.981 0.277 0.962
Tm 0.160 0.198 0.319
Tm 0.334 0.107 0.667
Tm 0.617 0.444 0.234
Tm 0.019 0.723 0.038

**Formation energy from the elements**: 0.1053 eV per atom
**SG**: C2/m (12)
**Total magnetization**: 0.00 μB/f.u.
**Total energy**: -0.325 Ry/atom

No. 5
Density functional theory data (PBE-GGA) for a relaxed Li2Zn2Cu7 crystal.

Unit cell a=4.607 b=5.886 c=5.886 alpha=93.62 beta=106.27 gamma=106.27
Element x y z (fractional)
Li 0.070 0.229 0.229
Li 0.930 0.771 0.771
Zn 0.000 0.249 0.751
Zn 0.000 0.751 0.249
Cu 0.663 0.926 0.409
Cu 0.337 0.591 0.074
Cu 0.337 0.074 0.591
Cu 0.663 0.409 0.926
Cu 0.500 0.000 0.000
Cu 0.330 0.604 0.604
Cu 0.670 0.396 0.396

**Formation energy from the elements**: 0.0106 eV per atom
**SG**: C2/m (12)
**Total magnetization**: 0.00 μB/f.u.
**Total energy**: -0.233 Ry/atom

No. 6
Density functional theory data (PBE-GGA) for a relaxed GdGaCoRh crystal.

Unit cell a=4.518 b=4.518 c=4.518 alpha=60.00 beta=60.00 gamma=60.00
Element x y z (fractional)
Co 0.750 0.750 0.750
Gd 0.500 0.500 0.500
Rh 0.250 0.250 0.250
Ga 0.000 0.000 0.000

**Formation energy from the elements**: -0.4460 eV per atom
**SG**: F-43m (216)
**Total magnetization**: 7.09 μB/f.u.
**Total energy**: -0.613 Ry/atom

No. 7
Density functional theory data (PBE-GGA) for a relaxed PmBi2I8 crystal.

Unit cell a=8.309 b=9.000 c=9.000 alpha=74.43 beta=72.93 gamma=72.93
Element x y z (fractional)
Pm 0.000 0.000 0.000
Bi 0.430 0.148 0.148
Bi 0.570 0.852 0.852
I 0.770 0.143 0.757
I 0.230 0.243 0.857
I 0.728 0.223 0.223
I 0.272 0.777 0.777
I 0.770 0.757 0.143
I 0.230 0.857 0.243
I 0.172 0.343 0.343
I 0.828 0.657 0.657

**Uncorrected formation energy**: -0.64 eV/atom
**SG**: C2/m (12)
**Total magnetization**: 1.04 μB/f.u.
**Total energy**: -0.213 Ry/atom

No. 8
Density functional theory data (PBE-GGA) for a relaxed P2BrCl crystal.

Unit cell a=4.719 b=4.719 c=4.719 alpha=120.05 beta=120.05 gamma=89.91
Element x y z (fractional)
Br 0.500 0.500 0.000
Cl 0.750 0.250 0.500
P 0.000 0.000 0.000
P 0.250 0.750 0.500

**Uncorrected formation energy**: 0.83 eV/atom
**SG**: F-43m (216)
**Total magnetization**: 0.00 μB/f.u.
**Total energy**: -0.203 Ry/atom
**Polymorph energy (0 for the lowest one)**: 1066.8 meV per atom

No. 9
Density functional theory data (PBE-GGA) for a relaxed Na3InBr6 crystal.

Unit cell a=7.833 b=7.833 c=7.833 alpha=60.00 beta=60.00 gamma=60.00
Element x y z (fractional)
Na 0.750 0.750 0.750
Na 0.250 0.250 0.250
Na 0.500 0.500 0.500
In 0.000 0.000 0.000
Br 0.243 0.757 0.243
Br 0.757 0.243 0.243
Br 0.757 0.243 0.757
Br 0.243 0.243 0.757
Br 0.757 0.757 0.243
Br 0.243 0.757 0.757

**Uncorrected formation energy**: -1.10 eV/atom
**SG**: Fm-3m (225)
**Total magnetization**: 0.00 μB/f.u.
**Total energy**: -0.204 Ry/atom
**Polymorph energy (0 for the lowest one)**: 136.4 meV per atom

No. 10
Density functional theory data (PBE-GGA) for a relaxed Hf3ZnGa crystal.

Unit cell a=4.948 b=6.988 c=6.988 alpha=119.99 beta=90.00 gamma=90.00
Element x y z (fractional)
Hf 0.250 0.807 0.193
Hf 0.750 0.193 0.807
Hf 0.250 0.807 0.614
Hf 0.750 0.193 0.386
Hf 0.250 0.386 0.193
Hf 0.750 0.614 0.807
Zn 0.000 0.000 0.000
Zn 0.500 0.000 0.000
Ga 0.250 0.333 0.667
Ga 0.750 0.667 0.333

**Formation energy from the elements**: 0.1859 eV per atom
**SG**: P6_3/mmc (194)
**Total magnetization**: 0.00 μB/f.u.
**Total energy**: -0.488 Ry/atom
**Polymorph energy (0 for the lowest one)**: 0.0 meV per atom

No. 11
Density functional theory data (PBE-GGA) for a relaxed BaDy2Ru crystal.

Unit cell a=3.958 b=3.958 c=10.975 alpha=79.61 beta=79.61 gamma=60.00
Element x y z (fractional)
Ru 0.500 0.500 0.500
Ba 0.000 0.000 0.000
Dy 0.120 0.120 0.639
Dy 0.880 0.880 0.361

**Formation energy from the elements**: 0.0338 eV per atom
**SG**: R-3m (166)
**Total magnetization**: 0.00 μB/f.u.
**Total energy**: -0.372 Ry/atom
**Polymorph energy (0 for the lowest one)**: 177.1 meV per atom

No. 12
Density functional theory data (PBE-GGA) for a relaxed Tb6Y3ErTm2 crystal.

Unit cell a=6.143 b=6.143 c=11.736 alpha=94.99 beta=94.99 gamma=119.95
Element x y z (fractional)
Tb 0.917 0.584 0.752
Tb 0.750 0.750 0.248
Tb 0.083 0.416 0.248
Tb 0.584 0.917 0.752
Tb 0.250 0.250 0.752
Tb 0.416 0.083 0.248
Y 0.167 0.833 0.500
Y 0.833 0.167 0.500
Y 0.500 0.500 0.500
Er 0.000 0.000 0.000
Tm 0.333 0.667 0.000
Tm 0.667 0.333 0.000

**Formation energy from the elements**: 0.0196 eV per atom
**SG**: C2/m (12)
**Total magnetization**: 0.00 μB/f.u.
**Total energy**: -0.370 Ry/atom